Here is a crystal of AlTl4Tc relaxed with PBEsol from Alexandria. Energies are from SCAN.

abc: 5.9560 5.9560 5.9560
angles: 60.00 60.00 60.00
Last column: nearest neighbours and their distance in Å.
Positions (direct):
Al 0.0000 0.0000 0.0000  12 Tl 3.49, 4 Tc 3.65
Tl 0.3754 0.3754 0.3754  6 Tl 2.97-2.99
Tl 0.3754 0.3754 0.8738  6 Tl 2.97-2.99
Tl 0.3754 0.8738 0.3754  6 Tl 2.97-2.99
Tl 0.8738 0.3754 0.3754  6 Tl 2.97-2.99
Tc 0.7500 0.7500 0.7500  12 Tl 3.49, 4 Al 3.65

Calculated values
Energy   -54.38 eV per atom
Magnetic moment   0.4803 μB per atom
DFT formation energy   0.990 eV/atom
DOS at the Fermi energy   0.660 states/eV/atom

---

Here is a crystal of TaFePt2 relaxed with PBEsol from Alexandria. Energies are from SCAN.

abc: 3.7913 3.7913 3.9555
angles: 90.00 90.00 90.00
Last column: nearest neighbours and their distance in Å.
Positions (direct):
Ta 0.0000 0.0000 0.0000  4 Fe 2.68, 8 Pt 2.74
Fe 0.5000 0.5000 0.0000  4 Ta 2.68, 8 Pt 2.74
Pt 0.0000 0.5000 0.5000  4 Pt 2.68, 4 Ta 2.74, 4 Fe 2.74
Pt 0.5000 0.0000 0.5000  4 Pt 2.68, 4 Ta 2.74, 4 Fe 2.74

Calculated values
Energy above the lowest structure with this stoichiometry   123 meV per atom
Energy   -56.89 eV per atom
Magnetic moment   0.3282 μB per atom
DFT formation energy   -0.619 eV/atom
DOS at the Fermi energy   0.349 states/eV/atom

---

Here is a crystal of InNi6Au relaxed with PBEsol from Alexandria. Energies are from SCAN.

abc: 6.3323 6.3323 10.3412
angles: 90.00 90.00 109.59
Last column: nearest neighbours and their distance in Å.
Positions (direct):
In 0.0000 0.0000 0.2494  12 Ni 2.58-2.60
In 0.0000 0.0000 0.7506  12 Ni 2.58-2.60
In 0.2482 0.7518 0.5000  12 Ni 2.57-2.61
In 0.7518 0.2482 0.5000  12 Ni 2.57-2.61
Ni 0.0000 0.0000 0.0000  2 Au 2.56, 2 In 2.58, 8 Ni 2.59
Ni 0.0000 0.0000 0.5000  4 In 2.57-2.59, 8 Ni 2.60
Ni 0.1266 0.3777 0.1240  8 Ni 2.56-2.60, 3 Au 2.57-2.58, 1 In 2.60
Ni 0.1266 0.3777 0.8760  8 Ni 2.56-2.60, 3 Au 2.57-2.58, 1 In 2.60
Ni 0.1281 0.3770 0.3739  1 Au 2.57, 8 Ni 2.57-2.61, 3 In 2.59-2.60
Ni 0.1281 0.3770 0.6261  1 Au 2.57, 8 Ni 2.57-2.61, 3 In 2.59-2.60
Ni 0.2507 0.7493 0.2484  8 Ni 2.56-2.61, 2 Au 2.57-2.58, 2 In 2.59-2.60
Ni 0.2507 0.7493 0.7516  8 Ni 2.56-2.61, 2 Au 2.57-2.58, 2 In 2.59-2.60
Ni 0.3770 0.1281 0.3739  1 Au 2.57, 8 Ni 2.57-2.61, 3 In 2.59-2.60
Ni 0.3770 0.1281 0.6261  1 Au 2.57, 8 Ni 2.57-2.61, 3 In 2.59-2.60
Ni 0.3777 0.1266 0.1240  8 Ni 2.56-2.60, 3 Au 2.57-2.58, 1 In 2.60
Ni 0.3777 0.1266 0.8760  8 Ni 2.56-2.60, 3 Au 2.57-2.58, 1 In 2.60
Ni 0.5000 0.5000 0.0000  8 Ni 2.57, 4 Au 2.57-2.61
Ni 0.5000 0.5000 0.5000  8 Ni 2.57, 2 Au 2.60, 2 In 2.61
Ni 0.6223 0.8734 0.1240  8 Ni 2.56-2.60, 3 Au 2.57-2.58, 1 In 2.60
Ni 0.6223 0.8734 0.8760  8 Ni 2.56-2.60, 3 Au 2.57-2.58, 1 In 2.60
Ni 0.6230 0.8719 0.3739  1 Au 2.57, 8 Ni 2.57-2.61, 3 In 2.59-2.60
Ni 0.6230 0.8719 0.6261  1 Au 2.57, 8 Ni 2.57-2.61, 3 In 2.59-2.60
Ni 0.7493 0.2507 0.2484  8 Ni 2.56-2.61, 2 Au 2.57-2.58, 2 In 2.59-2.60
Ni 0.7493 0.2507 0.7516  8 Ni 2.56-2.61, 2 Au 2.57-2.58, 2 In 2.59-2.60
Ni 0.8719 0.6230 0.3739  1 Au 2.57, 8 Ni 2.57-2.61, 3 In 2.59-2.60
Ni 0.8719 0.6230 0.6261  1 Au 2.57, 8 Ni 2.57-2.61, 3 In 2.59-2.60
Ni 0.8734 0.6223 0.1240  8 Ni 2.56-2.60, 3 Au 2.57-2.58, 1 In 2.60
Ni 0.8734 0.6223 0.8760  8 Ni 2.56-2.60, 3 Au 2.57-2.58, 1 In 2.60
Au 0.2478 0.7522 0.0000  12 Ni 2.56-2.61
Au 0.5000 0.5000 0.2489  12 Ni 2.57-2.60
Au 0.5000 0.5000 0.7511  12 Ni 2.57-2.60
Au 0.7522 0.2478 0.0000  12 Ni 2.56-2.61

Calculated values
Energy   -24.91 eV per atom
Magnetic moment   0.4230 μB per atom
DFT formation energy   0.042 eV/atom
DOS at the Fermi energy   0.740 states/eV/atom

---

Here is a crystal of CdBRh3 relaxed with PBEsol from Alexandria. Energies are from SCAN.

abc: 4.0804 4.0804 4.0804
angles: 90.00 90.00 90.00
Last column: nearest neighbours and their distance in Å.
Positions (direct):
Cd 0.0000 0.0000 0.0000  12 Rh 2.89
B 0.5000 0.5000 0.5000  6 Rh 2.04
Rh 0.0000 0.5000 0.5000  2 B 2.04
Rh 0.5000 0.0000 0.5000  2 B 2.04
Rh 0.5000 0.5000 0.0000  2 B 2.04

Calculated values
Energy above the lowest structure with this stoichiometry   15 meV per atom
Energy   -28.08 eV per atom
Magnetic moment   0.0003 μB per atom
DFT formation energy   -0.246 eV/atom
DOS at the Fermi energy   0.775 states/eV/atom

---

Here is a crystal of TePt4Au relaxed with PBEsol from Alexandria. Energies are from SCAN.

abc: 5.2817 5.2817 5.2817
angles: 60.00 60.00 60.00
Last column: nearest neighbours and their distance in Å.
Positions (direct):
Te 0.0000 0.0000 0.0000  12 Pt 3.10, 4 Au 3.23
Pt 0.1254 0.6249 0.6249  6 Pt 2.64
Pt 0.6249 0.1254 0.6249  6 Pt 2.64
Pt 0.6249 0.6249 0.1254  6 Pt 2.64
Pt 0.6249 0.6249 0.6249  6 Pt 2.64
Au 0.2500 0.2500 0.2500  12 Pt 3.10, 4 Te 3.23

Calculated values
E_form (uncorrected)   1.326 eV per formula unit
Energy   -64.31 eV per atom
Magnetic moment   0.0000 μB per atom
DOS at the Fermi energy   1.017 states/eV/atom

---

Here is a crystal of ZrMo3 relaxed with PBEsol from Alexandria. Energies are from SCAN.

abc: 2.8202 4.4741 5.2874
angles: 90.00 100.53 90.00
Last column: nearest neighbours and their distance in Å.
Positions (direct):
Zr 0.0000 0.0000 0.0000  6 Mo 2.76-2.78, 2 Zr 2.82
Mo 0.2552 0.5000 0.7428  6 Mo 2.70-2.82, 2 Zr 2.78
Mo 0.5000 0.0000 0.5000  6 Mo 2.73-2.82, 2 Zr 2.76
Mo 0.7448 0.5000 0.2572  6 Mo 2.70-2.82, 2 Zr 2.78

Calculated values
Energy   -33.79 eV per atom
Magnetic moment   0.0000 μB per atom
DFT formation energy   0.048 eV/atom
DOS at the Fermi energy   0.779 states/eV/atom

---

Here is a crystal of TcTeIO2 relaxed with PBEsol from Alexandria. Energies are from SCAN.

abc: 4.0012 4.0012 6.5177
angles: 90.00 90.00 90.00
Last column: nearest neighbours and their distance in Å.
Positions (direct):
Tc 0.0000 0.0000 0.0000  4 I 2.83
Te 0.5000 0.5000 0.5000  4 O 2.00
I 0.5000 0.5000 0.0000  4 Tc 2.83
O 0.0000 0.5000 0.5000  2 Te 2.00
O 0.5000 0.0000 0.5000  2 Te 2.00

Calculated values
Energy above the lowest structure with this stoichiometry   574 meV per atom
E_form (uncorrected)   1.755 eV per formula unit
Energy   -23.95 eV per atom
Magnetic moment   0.7400 μB per atom
DOS at the Fermi energy   0.674 states/eV/atom

---

Here is a crystal of Li2CaHg relaxed with PBEsol from Alexandria. Energies are from SCAN.

abc: 4.4282 4.4282 4.7728
angles: 90.00 90.00 90.00
Last column: nearest neighbours and their distance in Å.
Positions (direct):
Li 0.0000 0.5000 0.0000  4 Li 3.13, 4 Hg 3.26, 4 Ca 3.26
Li 0.5000 0.0000 0.0000  4 Li 3.13, 4 Hg 3.26, 4 Ca 3.26
Ca 0.0000 0.0000 0.5000  4 Hg 3.13, 8 Li 3.26
Hg 0.5000 0.5000 0.5000  4 Ca 3.13, 8 Li 3.26

Calculated values
Energy   -20.95 eV per atom
Magnetic moment   0.0707 μB per atom
DFT formation energy   -0.302 eV/atom
DOS at the Fermi energy   0.529 states/eV/atom

---

Here is a crystal of Li2VS2O8 relaxed with PBEsol from Alexandria. Energies are from SCAN.

abc: 9.1199 13.6442 9.2341
angles: 90.00 90.00 90.00
Last column: nearest neighbours and their distance in Å.
Positions (direct):
Li 0.0446 0.1287 0.2260  4 O 1.97-2.12
Li 0.0446 0.3713 0.7260  4 O 1.97-2.12
Li 0.2190 0.6264 0.4668  6 O 2.07-2.26
Li 0.2190 0.8736 0.9668  6 O 2.07-2.26
Li 0.2810 0.1264 0.4668  6 O 2.07-2.26
Li 0.2810 0.3736 0.9668  6 O 2.07-2.26
Li 0.4554 0.6287 0.2260  4 O 1.97-2.12
Li 0.4554 0.8713 0.7260  4 O 1.97-2.12
Li 0.5446 0.1287 0.2740  4 O 1.97-2.12
Li 0.5446 0.3713 0.7740  4 O 1.97-2.12
Li 0.7190 0.6264 0.0332  6 O 2.07-2.26
Li 0.7190 0.8736 0.5332  6 O 2.07-2.26
Li 0.7810 0.1264 0.0332  6 O 2.07-2.26
Li 0.7810 0.3736 0.5332  6 O 2.07-2.26
Li 0.9554 0.6287 0.2740  4 O 1.97-2.12
Li 0.9554 0.8713 0.7740  4 O 1.97-2.12
V 0.0998 0.6221 0.8615  6 O 2.06-2.13
V 0.0998 0.8779 0.3615  6 O 2.06-2.13
V 0.4002 0.1221 0.8615  6 O 2.06-2.13
V 0.4002 0.3779 0.3615  6 O 2.06-2.13
V 0.5998 0.6221 0.6385  6 O 2.06-2.13
V 0.5998 0.8779 0.1385  6 O 2.06-2.13
V 0.9002 0.1221 0.6385  6 O 2.06-2.13
V 0.9002 0.3779 0.1385  6 O 2.06-2.13
S 0.0731 0.2274 0.9258  4 O 1.47-1.51
S 0.0731 0.2726 0.4258  4 O 1.47-1.51
S 0.1890 0.5099 0.1608  4 O 1.48-1.49
S 0.1890 0.9901 0.6608  4 O 1.48-1.49
S 0.3110 0.0099 0.1608  4 O 1.48-1.49
S 0.3110 0.4901 0.6608  4 O 1.48-1.49
S 0.4269 0.7274 0.9258  4 O 1.47-1.51
S 0.4269 0.7726 0.4258  4 O 1.47-1.51
S 0.5731 0.2274 0.5742  4 O 1.47-1.51
S 0.5731 0.2726 0.0742  4 O 1.47-1.51
S 0.6890 0.5099 0.3392  4 O 1.48-1.49
S 0.6890 0.9901 0.8392  4 O 1.48-1.49
S 0.8110 0.0099 0.3392  4 O 1.48-1.49
S 0.8110 0.4901 0.8392  4 O 1.48-1.49
S 0.9269 0.7274 0.5742  4 O 1.47-1.51
S 0.9269 0.7726 0.0742  4 O 1.47-1.51
O 0.0033 0.1540 0.0202  1 S 1.47
O 0.0033 0.3460 0.5202  1 S 1.47
O 0.0166 0.2207 0.7751  1 S 1.49
O 0.0166 0.2793 0.2751  1 S 1.49
O 0.0335 0.0037 0.7068  1 S 1.49
O 0.0335 0.4963 0.2068  1 S 1.49
O 0.0418 0.1692 0.4737  1 S 1.51
O 0.0418 0.3308 0.9737  1 S 1.51
O 0.2009 0.5237 0.0016  1 S 1.49
O 0.2009 0.9763 0.5016  1 S 1.49
O 0.2269 0.5819 0.6870  1 S 1.49
O 0.2269 0.9181 0.1870  1 S 1.49
O 0.2362 0.2220 0.9285  1 S 1.49
O 0.2362 0.2780 0.4285  1 S 1.49
O 0.2459 0.5947 0.2429  1 S 1.48
O 0.2459 0.9053 0.7429  1 S 1.48
O 0.2541 0.0947 0.2429  1 S 1.48
O 0.2541 0.4053 0.7429  1 S 1.48
O 0.2638 0.7220 0.9285  1 S 1.49
O 0.2638 0.7780 0.4285  1 S 1.49
O 0.2731 0.0819 0.6870  1 S 1.49
O 0.2731 0.4181 0.1870  1 S 1.49
O 0.2991 0.0237 0.0016  1 S 1.49
O 0.2991 0.4763 0.5016  1 S 1.49
O 0.4582 0.6692 0.4737  1 S 1.51
O 0.4582 0.8308 0.9737  1 S 1.51
O 0.4665 0.5037 0.7068  1 S 1.49
O 0.4665 0.9963 0.2068  1 S 1.49
O 0.4834 0.7207 0.7751  1 S 1.49
O 0.4834 0.7793 0.2751  1 S 1.49
O 0.4967 0.6540 0.0202  1 S 1.47
O 0.4967 0.8460 0.5202  1 S 1.47
O 0.5033 0.1540 0.4798  1 S 1.47
O 0.5033 0.3460 0.9798  1 S 1.47
O 0.5166 0.2207 0.7249  1 S 1.49
O 0.5166 0.2793 0.2249  1 S 1.49
O 0.5335 0.0037 0.7932  1 S 1.49
O 0.5335 0.4963 0.2932  1 S 1.49
O 0.5418 0.1692 0.0263  1 S 1.51
O 0.5418 0.3308 0.5263  1 S 1.51
O 0.7009 0.5237 0.4984  1 S 1.49
O 0.7009 0.9763 0.9984  1 S 1.49
O 0.7269 0.5819 0.8130  1 S 1.49
O 0.7269 0.9181 0.3130  1 S 1.49
O 0.7362 0.2220 0.5715  1 S 1.49
O 0.7362 0.2780 0.0715  1 S 1.49
O 0.7459 0.5947 0.2571  1 S 1.48
O 0.7459 0.9053 0.7571  1 S 1.48
O 0.7541 0.0947 0.2571  1 S 1.48
O 0.7541 0.4053 0.7571  1 S 1.48
O 0.7638 0.7220 0.5715  1 S 1.49
O 0.7638 0.7780 0.0715  1 S 1.49
O 0.7731 0.0819 0.8130  1 S 1.49
O 0.7731 0.4181 0.3130  1 S 1.49
O 0.7991 0.0237 0.4984  1 S 1.49
O 0.7991 0.4763 0.9984  1 S 1.49
O 0.9582 0.6692 0.0263  1 S 1.51
O 0.9582 0.8308 0.5263  1 S 1.51
O 0.9665 0.5037 0.7932  1 S 1.49
O 0.9665 0.9963 0.2932  1 S 1.49
O 0.9834 0.7207 0.7249  1 S 1.49
O 0.9834 0.7793 0.2249  1 S 1.49
O 0.9967 0.6540 0.4798  1 S 1.47
O 0.9967 0.8460 0.9798  1 S 1.47

Calculated values
E_form (uncorrected)   -26.343 eV per formula unit
Energy   -9.06 eV per atom
Magnetic moment   0.2308 μB per atom
DOS at the Fermi energy   0.000 states/eV/atom

---

Here is a crystal of SiAsRu2Au relaxed with PBEsol from Alexandria. Energies are from SCAN.

abc: 4.4733 4.4733 4.5907
angles: 90.00 90.00 90.00
Last column: nearest neighbours and their distance in Å.
Positions (direct):
Si 0.0000 0.0000 0.0000  2 As 2.30
As 0.0000 0.0000 0.5000  4 Ru 2.24, 2 Si 2.30
Ru 0.0000 0.5000 0.5000  2 As 2.24
Ru 0.5000 0.0000 0.5000  2 As 2.24
Au 0.5000 0.5000 0.0000  4 Si 3.16, 8 Ru 3.20

Calculated values
E_form (uncorrected)   5.608 eV per formula unit
Energy   -32.68 eV per atom
Magnetic moment   0.2753 μB per atom
DOS at the Fermi energy   0.524 states/eV/atom

---

Here is a crystal of ReSiBi2W relaxed with PBEsol from Alexandria. Energies are from SCAN.

abc: 5.1469 5.1469 4.5066
angles: 90.00 90.00 90.00
Last column: nearest neighbours and their distance in Å.
Positions (direct):
Re 0.0000 0.0000 0.0000  8 Bi 3.42, 4 W 3.64
Si 0.5000 0.5000 0.5000  2 W 2.25
Bi 0.0000 0.5000 0.5000  2 Si 2.57
Bi 0.5000 0.0000 0.5000  2 Si 2.57
W 0.5000 0.5000 0.0000  2 Si 2.25

Calculated values
E_form (uncorrected)   10.669 eV per formula unit
Energy   -59.46 eV per atom
Magnetic moment   0.3542 μB per atom
DOS at the Fermi energy   0.499 states/eV/atom

---

Here is a crystal of Cs2Cd2Mo3O12 relaxed with PBEsol from Alexandria. Energies are from SCAN.

abc: 11.3161 11.3161 11.3161
angles: 90.00 90.00 90.00
Last column: nearest neighbours and their distance in Å.
Positions (direct):
Cs 0.0749 0.0749 0.0749  9 O 3.22-3.49
Cs 0.1978 0.6978 0.8022  6 O 3.16-3.48
Cs 0.3022 0.3022 0.3022  6 O 3.16-3.48
Cs 0.4251 0.9251 0.5749  9 O 3.22-3.49
Cs 0.5749 0.4251 0.9251  9 O 3.22-3.49
Cs 0.6978 0.8022 0.1978  6 O 3.16-3.48
Cs 0.8022 0.1978 0.6978  6 O 3.16-3.48
Cs 0.9251 0.5749 0.4251  9 O 3.22-3.49
Cd 0.0859 0.9141 0.4141  6 O 2.24-2.25
Cd 0.1431 0.3569 0.6431  6 O 2.27
Cd 0.3569 0.6431 0.1431  6 O 2.27
Cd 0.4141 0.0859 0.9141  6 O 2.24-2.25
Cd 0.5859 0.5859 0.5859  6 O 2.24-2.25
Cd 0.6431 0.1431 0.3569  6 O 2.27
Cd 0.8569 0.8569 0.8569  6 O 2.27
Cd 0.9141 0.4141 0.0859  6 O 2.24-2.25
Mo 0.0430 0.7269 0.1285  4 O 1.76-1.77
Mo 0.1285 0.0430 0.7269  4 O 1.76-1.77
Mo 0.2269 0.3715 0.9570  4 O 1.76-1.77
Mo 0.2731 0.6285 0.4570  4 O 1.76-1.77
Mo 0.3715 0.9570 0.2269  4 O 1.76-1.77
Mo 0.4570 0.2731 0.6285  4 O 1.76-1.77
Mo 0.5430 0.7731 0.8715  4 O 1.76-1.77
Mo 0.6285 0.4570 0.2731  4 O 1.76-1.77
Mo 0.7269 0.1285 0.0430  4 O 1.76-1.77
Mo 0.7731 0.8715 0.5430  4 O 1.76-1.77
Mo 0.8715 0.5430 0.7731  4 O 1.76-1.77
Mo 0.9570 0.2269 0.3715  4 O 1.76-1.77
O 0.0012 0.5791 0.1509  1 Mo 1.76
O 0.0210 0.8001 0.2642  1 Mo 1.76
O 0.0235 0.9516 0.7969  1 Mo 1.76
O 0.0484 0.2969 0.4765  1 Mo 1.76
O 0.0784 0.1911 0.7365  1 Mo 1.77
O 0.0791 0.3491 0.9988  1 Mo 1.76
O 0.1509 0.0012 0.5791  1 Mo 1.76
O 0.1911 0.7365 0.0784  1 Mo 1.77
O 0.1999 0.7642 0.4790  1 Mo 1.76
O 0.2031 0.5235 0.5484  1 Mo 1.76
O 0.2358 0.9790 0.3001  1 Mo 1.76
O 0.2365 0.4216 0.8089  1 Mo 1.77
O 0.2635 0.5784 0.3089  1 Mo 1.77
O 0.2642 0.0210 0.8001  1 Mo 1.76
O 0.2969 0.4765 0.0484  1 Mo 1.76
O 0.3001 0.2358 0.9790  1 Mo 1.76
O 0.3089 0.2635 0.5784  1 Mo 1.77
O 0.3491 0.9988 0.0791  1 Mo 1.76
O 0.4209 0.6509 0.4988  1 Mo 1.76
O 0.4216 0.8089 0.2365  1 Mo 1.77
O 0.4516 0.7031 0.9765  1 Mo 1.76
O 0.4765 0.0484 0.2969  1 Mo 1.76
O 0.4790 0.1999 0.7642  1 Mo 1.76
O 0.4988 0.4209 0.6509  1 Mo 1.76
O 0.5012 0.9209 0.8491  1 Mo 1.76
O 0.5210 0.6999 0.7358  1 Mo 1.76
O 0.5235 0.5484 0.2031  1 Mo 1.76
O 0.5484 0.2031 0.5235  1 Mo 1.76
O 0.5784 0.3089 0.2635  1 Mo 1.77
O 0.5791 0.1509 0.0012  1 Mo 1.76
O 0.6509 0.4988 0.4209  1 Mo 1.76
O 0.6911 0.7635 0.9216  1 Mo 1.77
O 0.6999 0.7358 0.5210  1 Mo 1.76
O 0.7031 0.9765 0.4516  1 Mo 1.76
O 0.7358 0.5210 0.6999  1 Mo 1.76
O 0.7365 0.0784 0.1911  1 Mo 1.77
O 0.7635 0.9216 0.6911  1 Mo 1.77
O 0.7642 0.4790 0.1999  1 Mo 1.76
O 0.7969 0.0235 0.9516  1 Mo 1.76
O 0.8001 0.2642 0.0210  1 Mo 1.76
O 0.8089 0.2365 0.4216  1 Mo 1.77
O 0.8491 0.5012 0.9209  1 Mo 1.76
O 0.9209 0.8491 0.5012  1 Mo 1.76
O 0.9216 0.6911 0.7635  1 Mo 1.77
O 0.9516 0.7969 0.0235  1 Mo 1.76
O 0.9765 0.4516 0.7031  1 Mo 1.76
O 0.9790 0.3001 0.2358  1 Mo 1.76
O 0.9988 0.0791 0.3491  1 Mo 1.76

Calculated values
E_form (uncorrected)   -39.310 eV per formula unit
Energy   -18.69 eV per atom
Magnetic moment   0.0000 μB per atom
DOS at the Fermi energy   0.000 states/eV/atom

---

energy of number 1 (AlTl4Tc)?
-54.38 eV per atom